No. 1
This record from Alexandria describes a crystal of MoRh2W relaxed with PBEsol. The functional is SCAN.

a b c (Å): 3.8443 3.8443 4.7342
angles (deg): 113.96 113.96 90.00
Sites, in units of the cell vectors:
Mo  0.5000  0.5000  0.0000
W  0.0000  0.0000  0.0000
Rh  0.2500  0.7500  0.5000
Rh  0.7500  0.2500  0.5000

Output
The calculation puts the uncorrected energy at -3.177 Ry per atom. The value obtained for the density of states at the Fermi level is 1.9 states/eV/cell. Its density is 14.1 g/cm3. Its symmetry is No. 139. The formation energy comes out at -18.8 kJ per mole of atoms.

No. 2
This record from Alexandria describes a crystal of MoRh2W relaxed with PBEsol. The functional is SCAN.

a b c (Å): 2.7247 4.3996 4.7760
angles (deg): 90.00 90.00 90.00
Sites, in units of the cell vectors:
Rh  0.0000  0.0000  0.0495
Rh  0.0000  0.5000  0.7019
Mo  0.5000  0.5000  0.2019
W  0.5000  0.0000  0.5467

Output
The calculation puts the uncorrected energy at -3.176 Ry per atom. The value obtained for the density of states at the Fermi level is 2.8 states/eV/cell. Its density is 14.1 g/cm3. Its symmetry is No. 25. The formation energy comes out at -18.1 kJ per mole of atoms.

No. 3
This record from Alexandria describes a crystal of MoRh2W relaxed with PBEsol. The functional is SCAN.

a b c (Å): 2.7200 4.7329 4.7329
angles (deg): 109.89 90.00 90.00
Sites, in units of the cell vectors:
W  0.5000  0.0000  0.0000
Rh  0.0000  0.5000  0.0000
Rh  0.0000  0.0000  0.5000
Mo  0.5000  0.5000  0.5000

Output
The calculation puts the uncorrected energy at -3.177 Ry per atom. The value obtained for the density of states at the Fermi level is 1.9 states/eV/cell. Its density is 14.1 g/cm3. Its symmetry is No. 65. The formation energy comes out at -18.7 kJ per mole of atoms.